[1]
First-principles (PBEsol) data for an optimized crystal structure of CsNa2Ag2, as listed in Alexandria.

- Energy relative to the elements: 48.5 kJ/mol of formula units
- Magnetic moment: 0.000 Bohr magnetons per cell
- Density: 4.09 g/cm³

Unit cell a=4.9219 b=4.9219 c=13.2165 alpha=90.00 beta=90.00 gamma=90.00
Space group I4/mmm (No. 139)
Asymmetric unit:
Cs 0.0000 0.0000 0.0000 [2 per cell]
Na 0.0000 0.5000 0.2500 [4 per cell]
Ag 0.0000 0.0000 0.3971 [4 per cell]



[2]
First-principles (PBEsol) data for an optimized crystal structure of CsNa3Ag, as listed in Alexandria.

- Energy relative to the elements: 425.5 kJ/mol of formula units
- Magnetic moment: 0.001 Bohr magnetons per cell
- Density: 1.76 g/cm³

Unit cell a=6.6380 b=6.6380 c=6.6380 alpha=90.00 beta=90.00 gamma=90.00
Space group Pm-3m (No. 221)
Asymmetric unit:
Cs 0.0000 0.0000 0.0000 [1 per cell]
Na 0.0000 0.0000 0.5000 [3 per cell]
Ag 0.5000 0.5000 0.5000 [1 per cell]



[3]
First-principles (PBEsol) data for an optimized crystal structure of CsNb3Ag, as listed in Alexandria.

- Energy relative to the elements: 1285.3 kJ/mol of formula units
- Magnetic moment: 0.002 Bohr magnetons per cell
- Density: 7.05 g/cm³

Unit cell a=4.9642 b=4.9642 c=4.9642 alpha=90.00 beta=90.00 gamma=90.00
Space group Pm-3m (No. 221)
Asymmetric unit:
Cs 0.0000 0.0000 0.0000 [1 per cell]
Nb 0.0000 0.0000 0.5000 [3 per cell]
Ag 0.5000 0.5000 0.5000 [1 per cell]



[4]
First-principles (PBEsol) data for an optimized crystal structure of Cs2NbAgSe4, as listed in Alexandria.

- Formation energy (no corrections): -0.929 eV/atom
- Magnetic moment: 0.000 Bohr magnetons per cell
- Density: 4.79 g/cm³

Unit cell a=6.0195 b=14.4173 c=24.9834 alpha=90.00 beta=90.00 gamma=90.00
Space group Fddd (No. 70, origin choice 2)
Asymmetric unit:
Cs 0.1250 0.1250 0.3055 [16 per cell]
Nb 0.1250 0.1250 0.1250 [8 per cell]
Ag 0.1250 0.1250 0.6250 [8 per cell]
Se 0.0996 0.2758 0.4317 [32 per cell]



[5]
First-principles (PBEsol) data for an optimized crystal structure of Cs3NiAg, as listed in Alexandria.

- Energy relative to the elements: 375.2 kJ/mol of formula units
- Magnetic moment: 0.410 Bohr magnetons per cell
- Density: 3.14 g/cm³

Unit cell a=6.6868 b=6.6868 c=6.6868 alpha=90.00 beta=90.00 gamma=90.00
Space group Pm-3m (No. 221)
Asymmetric unit:
Cs 0.0000 0.0000 0.5000 [3 per cell]
Ni 0.5000 0.5000 0.5000 [1 per cell]
Ag 0.0000 0.0000 0.0000 [1 per cell]



[6]
First-principles (PBEsol) data for an optimized crystal structure of Cs2RbNiAg, as listed in Alexandria.

- Energy relative to the elements: 233.3 kJ/mol of formula units
- Magnetic moment: 0.021 Bohr magnetons per cell
- Density: 4.20 g/cm³

Unit cell a=6.3599 b=6.3599 c=5.0668 alpha=90.00 beta=90.00 gamma=90.00
Space group P4/mmm (No. 123)
Asymmetric unit:
Cs 0.0000 0.5000 0.0000 [2 per cell]
Rb 0.0000 0.0000 0.5000 [1 per cell]
Ni 0.5000 0.5000 0.0000 [1 per cell]
Ag 0.5000 0.5000 0.5000 [1 per cell]